# Mn2OsPt

An optimized crystal structure of Mn2OsPt (PBE, Alexandria).

extended XYZ file:
```
4
Lattice="-2.584 -0.652 -0.444 0.530 -0.307 -2.632 1.608 -7.162 1.159" Properties=species:S:1:pos:R:3 pbc="T T T"
Mn 0.027 -0.121 0.020
Mn -0.621 -2.288 -1.245
Os 0.762 -3.393 0.549
Pt 0.190 -5.900 -0.661
```

The density of states at the Fermi level is 1.05 states/eV per atom. The volume comes out at 13.6 A^3/atom. Its magnetic moment is 2.28 μB/cell. The formation energy from the elements is 0.0085 eV/atom.